Record 1
First-principles (GGA-PBE) data for a geometry-optimized Cs3Tl3Pb2 structure, as listed in Alexandria.

Output
E_form   -0.996 eV per formula unit
Size of the total moment   0.00 μB/f.u.
Calculated volume   45.6 Å³ per atom
Energy above the lowest structure with this stoichiometry   0.077 eV per formula unit

abc: 5.4606 14.2933 18.6914
angles: 90.00 90.00 90.00
Last column: nearest neighbours and their distance in Å.
Space group Cmcm (No. 63)
One atom of each set of equivalent atoms:
Cs  0.0000  0.0690  0.1057 (multiplicity 8)  7 Tl 3.91-4.36, 3 Pb 4.08-4.10
Cs  0.0000  0.3832  0.2500 (multiplicity 4)  5 Tl 4.03-4.18, 4 Pb 4.10
Tl  0.0000  0.3244  0.7500 (multiplicity 4)  2 Pb 3.12
Tl  0.0000  0.3519  0.0314 (multiplicity 8)  3 Pb 3.20-3.21
Pb  0.0000  0.2167  0.6052 (multiplicity 8)  4 Tl 3.12-3.21

Record 2
First-principles (GGA-PBE) data for a geometry-optimized Cs2Tl4Pb5 structure, as listed in Alexandria.

Output
E_form   -0.374 eV per formula unit
Size of the total moment   0.00 μB/f.u.
Calculated volume   39.9 Å³ per atom

abc: 6.7308 12.3889 21.0491
angles: 90.00 90.00 90.00
Last column: nearest neighbours and their distance in Å.
Space group Fmmm (No. 69)
One atom of each set of equivalent atoms:
Cs  0.0000  0.0000  0.1255 (multiplicity 8)  6 Tl 3.89-4.24, 2 Pb 4.28
Tl  0.0000  0.1576  0.3713 (multiplicity 16)  5 Pb 3.26-3.39
Pb  0.0000  0.0000  0.5000 (multiplicity 4)  4 Tl 3.34, 4 Pb 3.52
Pb  0.2500  0.2500  0.0000 (multiplicity 8)  4 Pb 3.37-3.52, 4 Tl 3.39
Pb  0.2500  0.2500  0.2500 (multiplicity 8)  4 Tl 3.26, 2 Pb 3.37

Record 3
First-principles (GGA-PBE) data for a geometry-optimized CsTl6Pb2 structure, as listed in Alexandria.

Output
E_form   2.022 eV per formula unit
Size of the total moment   0.00 μB/f.u.
Calculated volume   44.2 Å³ per atom
Energy above the lowest structure with this stoichiometry   2.174 eV per formula unit

abc: 14.7061 14.7061 14.7061
angles: 90.00 90.00 90.00
Last column: nearest neighbours and their distance in Å.
Space group Fd-3m (No. 227, origin choice 2)
One atom of each set of equivalent atoms:
Cs  0.1250  0.1250  0.1250 (multiplicity 8)  6 Tl 3.74
Tl  0.1206  0.3750  0.8750 (multiplicity 48)  2 Pb 3.15
Pb  0.0000  0.0000  0.5000 (multiplicity 16)  6 Tl 3.15

Record 4
First-principles (GGA-PBE) data for a geometry-optimized Cs3Tl8Pb structure, as listed in Alexandria.

Output
E_form   -0.429 eV per formula unit
Size of the total moment   0.00 μB/f.u.
Calculated volume   37.5 Å³ per atom
Energy above the lowest structure with this stoichiometry   0.000 eV per formula unit

abc: 6.8977 6.8977 10.9202
angles: 90.00 90.00 120.00
Last column: nearest neighbours and their distance in Å.
Space group P3m1 (No. 156)
One atom of each set of equivalent atoms:
Cs  0.0000  0.0000  0.0000 (multiplicity 1)  12 Tl 3.84-4.03, 1 Cs 4.12, 3 Pb 4.19
Cs  0.0000  0.0000  0.3777 (multiplicity 1)  12 Tl 4.04-4.08, 4 Cs 4.12-4.25
Cs  0.6667  0.3333  0.5131 (multiplicity 1)  12 Tl 4.01-4.14, 1 Pb 4.03, 3 Cs 4.25
Tl  0.1676  0.3352  0.6997 (multiplicity 3)  6 Tl 3.30-3.47
Tl  0.3333  0.6667  0.4390 (multiplicity 1)  6 Tl 3.47-3.52
Tl  0.3333  0.6667  0.9419 (multiplicity 1)  6 Tl 3.29-3.30
Tl  0.5056  0.0111  0.1776 (multiplicity 3)  6 Tl 3.29-3.56
Pb  0.6667  0.3333  0.8822 (multiplicity 1)  12 Tl 3.76-4.04, 4 Cs 4.03-4.19

Record 5
First-principles (GGA-PBE) data for a geometry-optimized Cs2Tl7Pb structure, as listed in Alexandria.

Output
E_form   -0.710 eV per formula unit
Size of the total moment   0.00 μB/f.u.
Calculated volume   38.4 Å³ per atom
Energy above the lowest structure with this stoichiometry   0.000 eV per formula unit

abc: 5.3945 5.3945 13.1884
angles: 90.00 90.00 90.00
Last column: nearest neighbours and their distance in Å.
Space group P-4m2 (No. 115)
One atom of each set of equivalent atoms:
Cs  0.0000  0.5000  0.2489 (multiplicity 2)  14 Tl 4.10-4.27, 2 Pb 4.25
Tl  0.0000  0.0000  0.0000 (multiplicity 1)  4 Tl 3.23
Tl  0.0000  0.0000  0.5000 (multiplicity 1)  4 Tl 3.19
Tl  0.0000  0.5000  0.6292 (multiplicity 2)  5 Tl 3.12-3.19
Tl  0.0000  0.5000  0.8658 (multiplicity 2)  3 Tl 3.12-3.23, 2 Pb 3.23
Tl  0.5000  0.5000  0.5000 (multiplicity 1)  4 Tl 3.19
Pb  0.5000  0.5000  0.0000 (multiplicity 1)  4 Tl 3.23

Record 6
First-principles (GGA-PBE) data for a geometry-optimized CsTlPb2 structure, as listed in Alexandria.

Output
E_form   -0.311 eV per formula unit
Size of the total moment   0.00 μB/f.u.
Calculated volume   41.0 Å³ per atom
Energy above the lowest structure with this stoichiometry   0.086 eV per formula unit

abc: 5.6719 5.0318 11.7823
angles: 90.00 102.67 90.00
Last column: nearest neighbours and their distance in Å.
Space group P2_1/m (No. 11)
One atom of each set of equivalent atoms:
Cs  0.1080  0.2500  0.2131 (multiplicity 2)  6 Pb 3.88-4.22, 4 Tl 3.90-4.20
Tl  0.3738  0.2500  0.6635 (multiplicity 2)  5 Pb 3.20-3.37
Pb  0.2004  0.7500  0.4921 (multiplicity 2)  4 Tl 3.24-3.37, 2 Pb 3.42
Pb  0.3835  0.2500  0.9362 (multiplicity 2)  2 Pb 3.08, 1 Tl 3.20

Record 7
First-principles (GGA-PBE) data for a geometry-optimized Cs3TlPb8 structure, as listed in Alexandria.

Output
E_form   -0.690 eV per formula unit
Size of the total moment   0.00 μB/f.u.
Calculated volume   38.0 Å³ per atom

abc: 6.9685 6.9685 32.5572
angles: 90.00 90.00 120.00
Last column: nearest neighbours and their distance in Å.
Space group R3m (No. 160, hexagonal axes)
One atom of each set of equivalent atoms:
Cs  0.0000  0.0000  0.0000 (multiplicity 3)  12 Pb 3.88-4.09, 1 Cs 4.00, 3 Tl 4.27
Cs  0.0000  0.0000  0.1228 (multiplicity 3)  4 Cs 4.00-4.26, 12 Pb 4.07-4.09
Cs  0.0000  0.0000  0.4991 (multiplicity 3)  1 Tl 4.03, 12 Pb 4.08-4.12, 3 Cs 4.26
Tl  0.0000  0.0000  0.6229 (multiplicity 3)  12 Pb 3.80-4.08, 1 Cs 4.03
Pb  0.0000  0.0000  0.3110 (multiplicity 3)  6 Pb 3.32-3.34
Pb  0.0000  0.0000  0.8116 (multiplicity 3)  6 Pb 3.42-3.44
Pb  0.0072  0.5036  0.5641 (multiplicity 9)  6 Pb 3.32-3.56
Pb  0.1746  0.3493  0.3905 (multiplicity 9)  6 Pb 3.32-3.65

Record 8
First-principles (GGA-PBE) data for a geometry-optimized Cs2TlPb structure, as listed in Alexandria.

Output
E_form   0.082 eV per formula unit
Size of the total moment   0.00 μB/f.u.
Calculated volume   71.9 Å³ per atom
Energy above the lowest structure with this stoichiometry   0.509 eV per formula unit

abc: 13.9337 13.9337 5.9214
angles: 90.00 90.00 90.00
Last column: nearest neighbours and their distance in Å.
Space group I-42d (No. 122)
One atom of each set of equivalent atoms:
Cs  0.0950  0.2500  0.1250 (multiplicity 8)  2 Tl 3.80
Tl  0.0000  0.0000  0.0000 (multiplicity 4)  2 Pb 2.96
Pb  0.0000  0.0000  0.5000 (multiplicity 4)  2 Tl 2.96

DFT total energy / eV/atom: -2.26, -2.74, -2.27, -2.14, -2.27, -2.74, -2.94, -1.92